1.
Material: PmCuSn
Method: DFT, GGA-PBE
State: optimized geometry

Cell: 4.5552 4.5552 3.8911 Å, 90.00 90.00 120.00°
Space group P-6m2 (No. 187)
Unique sites:
Pm1 0.0000 0.0000 0.0000 x1
Cu1 0.3333 0.6667 0.5000 x1
Sn1 0.6667 0.3333 0.5000 x1

Computed properties:
Energy above the lowest structure with this stoichiometry in eV per atom: 0.057
Formation enthalpy at 0 K in eV/f.u.: -1.63
Theoretical density in g cm⁻³: 7.77

2.
Material: PmCu2Sn
Method: DFT, GGA-PBE
State: optimized geometry

Cell: 4.5272 4.5272 3.9651 Å, 90.00 90.00 90.00°
Space group P4/mmm (No. 123)
Unique sites:
Pm1 0.0000 0.0000 0.0000 x1
Cu1 0.0000 0.5000 0.5000 x2
Sn1 0.5000 0.5000 0.0000 x1

Computed properties:
Energy above the lowest structure with this stoichiometry in eV per atom: 0.186
Formation enthalpy at 0 K in eV/f.u.: -0.67
Theoretical density in g cm⁻³: 7.99

3.
Material: Pm6CuSn2
Method: DFT, GGA-PBE
State: optimized geometry

Cell: 8.4355 8.4355 4.3204 Å, 90.00 90.00 120.00°
Space group P-62m (No. 189)
Unique sites:
Pm1 0.0000 0.4129 0.0000 x3
Pm2 0.0000 0.7562 0.5000 x3
Cu1 0.0000 0.0000 0.0000 x1
Sn1 0.3333 0.6667 0.5000 x2

Computed properties:
Formation enthalpy at 0 K in eV/f.u.: -3.60
Theoretical density in g cm⁻³: 7.30

4.
Material: PmCu2Sn2
Method: DFT, GGA-PBE
State: optimized geometry

Cell: 4.4766 4.4190 10.6981 Å, 90.00 91.12 90.00°
Space group P2_1/m (No. 11)
Unique sites:
Pm1 0.2346 0.2500 0.2407 x2
Cu1 0.1993 0.7500 0.0006 x2
Cu2 0.2519 0.2500 0.6379 x2
Sn1 0.2524 0.7500 0.4989 x2
Sn2 0.2896 0.2500 0.8739 x2

Computed properties:
Formation enthalpy at 0 K in eV/f.u.: -2.04
Theoretical density in g cm⁻³: 8.00

5.
Material: PmCuSnTe3
Method: DFT, GGA-PBE
State: optimized geometry

Cell: 9.2124 4.2246 9.5647 Å, 90.00 97.90 90.00°
Space group P2_1/m (No. 11)
Unique sites:
Pm1 0.1515 0.2500 0.2453 x2
Cu1 0.0637 0.2500 0.5709 x2
Sn1 0.3500 0.7500 0.8410 x2
Te1 0.0990 0.2500 0.8625 x2
Te2 0.2225 0.7500 0.5010 x2
Te3 0.3896 0.7500 0.1606 x2

Computed properties:
E_form (uncorrected) in meV per atom: -693
Theoretical density in g cm⁻³: 6.40

6.
Material: PmTh2Cu2Sn2
Method: DFT, GGA-PBE
State: optimized geometry

Cell: 4.3761 4.3761 33.1560 Å, 90.00 90.00 120.00°
Space group R-3m (No. 166, hexagonal axes)
Unique sites:
Pm1 0.0000 0.0000 0.0000 x3
Th1 0.0000 0.0000 0.1263 x6
Cu1 0.0000 0.0000 0.4079 x6
Sn1 0.0000 0.0000 0.2726 x6

Computed properties:
Formation enthalpy at 0 K in eV/f.u.: -1.85
Theoretical density in g cm⁻³: 8.82

7.
Material: Pm2ThCu2Sn2
Method: DFT, GGA-PBE
State: optimized geometry

Cell: 4.5357 4.5357 30.3037 Å, 90.00 90.00 120.00°
Space group R-3m (No. 166, hexagonal axes)
Unique sites:
Pm1 0.0000 0.0000 0.1273 x6
Th1 0.0000 0.0000 0.0000 x3
Cu1 0.0000 0.0000 0.3915 x6
Sn1 0.0000 0.0000 0.2638 x6

Computed properties:
Formation enthalpy at 0 K in eV/f.u.: -2.48
Theoretical density in g cm⁻³: 8.18

8.
Material: PmYCuSn
Method: DFT, GGA-PBE
State: optimized geometry

Cell: 7.3829 7.3829 7.3829 Å, 90.00 90.00 90.00°
Space group F-43m (No. 216)
Unique sites:
Pm1 0.0000 0.0000 0.0000 x4
Y1 0.0000 0.0000 0.5000 x4
Cu1 0.2500 0.2500 0.7500 x4
Sn1 0.2500 0.2500 0.2500 x4

Computed properties:
Formation enthalpy at 0 K in eV/f.u.: -1.76
Theoretical density in g cm⁻³: 6.87

Question: theoretical density of number 7 (Pm2ThCu2Sn2)?
Answer: 8.18 g cm⁻³

Question: Number 5 is which compound?
Answer: PmCuSnTe3